Below is CrI2 after structural relaxation, with properties calculated at the PBEsol level.

Results
Space-group type: No. 36
Formation energy from raw total energies in eV/f.u.: -0.58
Magnetization in μB/f.u.: 4.000
Crystal system: orthorhombic

Cell lengths 4.0074, 4.0074, 13.2684 Å; angles 90.00, 90.00, 120.06 degrees
Last column: nearest neighbours and their distance in Å.
Fractional coordinates of all 6 atoms:
Cr 0.1648 0.8352 0.5000  6 I 2.81-2.82
Cr 0.8352 0.1648 0.0000  6 I 2.81-2.82
I 0.1685 0.8315 0.8801  3 Cr 2.81
I 0.4982 0.5018 0.6208  3 Cr 2.81-2.82
I 0.5018 0.4982 0.1208  3 Cr 2.81-2.82
I 0.8315 0.1685 0.3801  3 Cr 2.81